1.
# NbTl3Cl | Alexandria via LeMat-Bulk | PBE | optimized geometry
data_NbTl3Cl
_cell_length_a 5.6968
_cell_length_b 5.6968
_cell_length_c 5.6968
_cell_angle_alpha 90.00
_cell_angle_beta 90.00
_cell_angle_gamma 90.00
_symmetry_space_group_name_H-M 'P 1'
_symmetry_Int_Tables_number 1
loop_
_symmetry_equiv_pos_as_xyz
'x,y,z'
loop_
_atom_site_label
_atom_site_type_symbol
_atom_site_fract_x
_atom_site_fract_y
_atom_site_fract_z
Cl1 Cl 0.0000 0.0000 0.0000
Tl1 Tl 0.0000 0.0000 0.5000
Tl2 Tl 0.0000 0.5000 0.0000
Tl3 Tl 0.5000 0.0000 0.0000
Nb1 Nb 0.5000 0.5000 0.5000
# ΔE_f (raw): 0.808 eV per atom
# energy above the lowest structure with this stoichiometry: 405.3 meV per atom
# SG: No. 221


2.
# NbTlH2 | Alexandria via LeMat-Bulk | PBE | optimized geometry
data_NbTlH2
_cell_length_a 5.8533
_cell_length_b 5.8533
_cell_length_c 5.1196
_cell_angle_alpha 55.13
_cell_angle_beta 55.13
_cell_angle_gamma 90.00
_symmetry_space_group_name_H-M 'P 1'
_symmetry_Int_Tables_number 1
loop_
_symmetry_equiv_pos_as_xyz
'x,y,z'
loop_
_atom_site_label
_atom_site_type_symbol
_atom_site_fract_x
_atom_site_fract_y
_atom_site_fract_z
Nb1 Nb 0.2500 0.7500 0.5000
Nb2 Nb 0.5000 0.5000 0.0000
H1 H 0.3750 0.4725 0.7500
H2 H 0.5275 0.1250 0.2500
H3 H 0.8750 0.7775 0.7500
H4 H 0.2225 0.6250 0.2500
Tl1 Tl 0.0000 0.0000 0.0000
Tl2 Tl 0.7500 0.2500 0.5000
# energy above the lowest structure with this stoichiometry: 0.0 meV per atom
# SG: No. 122


3.
# MnNbCr2Hg | Alexandria via LeMat-Bulk | PBE | optimized geometry
data_MnNbCr2Hg
_cell_length_a 4.6178
_cell_length_b 5.4085
_cell_length_c 4.6178
_cell_angle_alpha 90.00
_cell_angle_beta 90.00
_cell_angle_gamma 90.00
_symmetry_space_group_name_H-M 'P 1'
_symmetry_Int_Tables_number 1
loop_
_symmetry_equiv_pos_as_xyz
'x,y,z'
loop_
_atom_site_label
_atom_site_type_symbol
_atom_site_fract_x
_atom_site_fract_y
_atom_site_fract_z
Cr1 Cr 0.5000 0.0000 0.0000
Cr2 Cr 0.0000 0.0000 0.5000
Nb1 Nb 0.0000 0.0000 0.0000
Hg1 Hg 0.0000 0.5000 0.0000
Mn1 Mn 0.5000 0.5000 0.5000
# energy above the lowest structure with this stoichiometry: 581.6 meV per atom
# SG: No. 123
# E_form: 1.523 eV/atom


4.
# CuTeP3 | Alexandria via LeMat-Bulk | PBE | optimized geometry
data_CuTeP3
_cell_length_a 4.5531
_cell_length_b 4.5531
_cell_length_c 4.5531
_cell_angle_alpha 90.00
_cell_angle_beta 90.00
_cell_angle_gamma 90.00
_symmetry_space_group_name_H-M 'P 1'
_symmetry_Int_Tables_number 1
loop_
_symmetry_equiv_pos_as_xyz
'x,y,z'
loop_
_atom_site_label
_atom_site_type_symbol
_atom_site_fract_x
_atom_site_fract_y
_atom_site_fract_z
P1 P 0.0000 0.5000 0.0000
P2 P 0.5000 0.0000 0.0000
P3 P 0.0000 0.0000 0.5000
Cu1 Cu 0.0000 0.0000 0.0000
Te1 Te 0.5000 0.5000 0.5000
# ΔE_f (raw): 0.785 eV per atom
# energy above the lowest structure with this stoichiometry: 0.0 meV per atom
# SG: No. 221


5.
# Zr2BI | Alexandria via LeMat-Bulk | PBE | optimized geometry
data_Zr2BI
_cell_length_a 4.7436
_cell_length_b 4.7436
_cell_length_c 4.7436
_cell_angle_alpha 60.00
_cell_angle_beta 60.00
_cell_angle_gamma 60.00
_symmetry_space_group_name_H-M 'P 1'
_symmetry_Int_Tables_number 1
loop_
_symmetry_equiv_pos_as_xyz
'x,y,z'
loop_
_atom_site_label
_atom_site_type_symbol
_atom_site_fract_x
_atom_site_fract_y
_atom_site_fract_z
B1 B 0.0000 0.0000 0.0000
Zr1 Zr 0.7500 0.7500 0.7500
Zr2 Zr 0.2500 0.2500 0.2500
I1 I 0.5000 0.5000 0.5000
# ΔE_f (raw): 0.389 eV per atom
# energy above the lowest structure with this stoichiometry: 267.2 meV per atom
# SG: No. 225


6.
# Mg3Si4 | Alexandria via LeMat-Bulk | PBE | optimized geometry
data_Mg3Si4
_cell_length_a 5.4667
_cell_length_b 7.2674
_cell_length_c 7.9622
_cell_angle_alpha 116.79
_cell_angle_beta 92.61
_cell_angle_gamma 106.25
_symmetry_space_group_name_H-M 'P 1'
_symmetry_Int_Tables_number 1
loop_
_symmetry_equiv_pos_as_xyz
'x,y,z'
loop_
_atom_site_label
_atom_site_type_symbol
_atom_site_fract_x
_atom_site_fract_y
_atom_site_fract_z
Si1 Si 0.6708 0.6453 0.4441
Si2 Si 0.2532 0.9508 0.3040
Si3 Si 0.0139 0.7783 0.7091
Si4 Si 0.3545 0.6563 0.0504
Si5 Si 0.5334 0.2469 0.2548
Si6 Si 0.0793 0.4774 0.7343
Si7 Si 0.7433 0.2103 0.7908
Si8 Si 0.3939 0.8856 0.5609
Mg1 Mg 0.8133 0.5909 0.1005
Mg2 Mg 0.5224 0.4133 0.6474
Mg3 Mg 0.7007 0.9517 0.9624
Mg4 Mg 0.2576 0.2178 0.9326
Mg5 Mg 0.8168 0.0429 0.4082
Mg6 Mg 0.1005 0.4322 0.3471
# ΔE_f (raw): 0.077 eV per atom
# energy above the lowest structure with this stoichiometry: 24.6 meV per atom
# SG: No. 1